(a)
First-principles (GGA-PBE) data for a relaxed Cu2Si2Sb crystal, as listed in Alexandria. Values from VASP.

Total magnetic moment (μB per atom): 0.00

```
&SYSTEM
  ibrav = 0, nat = 10, ntyp = 3
/
ATOMIC_SPECIES
Cu 63.55 Cu.upf
Si 28.09 Si.upf
Sb 121.76 Sb.upf
ATOMIC_POSITIONS angstrom
Cu 1.317 2.587 0.000
Cu 2.587 6.491 0.000
Cu 5.221 1.317 0.000
Cu 6.491 5.221 0.000
Si 0.948 4.852 1.340
Si 2.956 0.948 1.340
Si 4.852 6.861 1.340
Si 6.861 2.956 1.340
Sb 0.000 0.000 1.340
Sb 3.904 3.904 1.340
CELL_PARAMETERS angstrom
7.808 0.000 0.000
0.000 7.808 0.000
0.000 0.000 2.680
```


(b)
First-principles (GGA-PBE) data for a relaxed Cu2Si2Sb crystal, as listed in Alexandria. Values from VASP.

Total magnetic moment (μB per atom): 0.00

```
&SYSTEM
  ibrav = 0, nat = 5, ntyp = 3
/
ATOMIC_SPECIES
Cu 63.55 Cu.upf
Si 28.09 Si.upf
Sb 121.76 Sb.upf
ATOMIC_POSITIONS angstrom
Cu 2.005 0.000 2.554
Cu 0.000 2.005 2.554
Si 0.000 0.000 1.175
Si 0.000 0.000 9.041
Sb 0.000 0.000 5.108
CELL_PARAMETERS angstrom
-2.005 2.005 5.108
2.005 -2.005 5.108
2.005 2.005 -5.108
```


Relative energies with respect to the most stable structure, expressed in meV per atom: (a) 157; (b) 0.


(a)
First-principles (GGA-PBE) data for a relaxed Cu2Si2Sb crystal, as listed in Alexandria. Values from VASP.

Total magnetic moment (μB per atom): 0.00

```
&SYSTEM
  ibrav = 0, nat = 10, ntyp = 3
/
ATOMIC_SPECIES
Cu 63.55 Cu.upf
Si 28.09 Si.upf
Sb 121.76 Sb.upf
ATOMIC_POSITIONS angstrom
Cu 0.971 2.683 0.000
Cu 2.683 6.337 0.000
Cu 4.625 0.971 0.000
Cu 6.337 4.625 0.000
Si 1.089 4.743 1.511
Si 2.565 1.089 1.511
Si 4.743 6.219 1.511
Si 6.219 2.565 1.511
Sb 0.000 0.000 0.000
Sb 3.654 3.654 0.000
CELL_PARAMETERS angstrom
7.308 0.000 0.000
0.000 7.308 0.000
0.000 0.000 3.022
```


(b)
First-principles (GGA-PBE) data for a relaxed Cu2Si2Sb crystal, as listed in Alexandria. Values from VASP.

Total magnetic moment (μB per atom): 0.00

```
&SYSTEM
  ibrav = 0, nat = 5, ntyp = 3
/
ATOMIC_SPECIES
Cu 63.55 Cu.upf
Si 28.09 Si.upf
Sb 121.76 Sb.upf
ATOMIC_POSITIONS angstrom
Cu 0.000 0.000 1.274
Cu 0.000 0.000 10.253
Si 1.874 0.000 2.882
Si 0.000 1.874 2.882
Sb 0.000 0.000 5.763
CELL_PARAMETERS angstrom
-1.874 1.874 5.763
1.874 -1.874 5.763
1.874 1.874 -5.763
```


Relative energies with respect to the most stable structure, expressed in meV per atom: (a) 138; (b) 0.